No. 1
Tb8Ge3AsSe4: optimized geometry, PBE.

Computed properties:
Magnetization in μB/cell: 0.00
D(E_F) in states/eV per cell: 3.51
Total energy in eV per atom: -5.8374
ΔE_f (raw) in kJ per mole of atoms: -144

Unit cell a=8.288 b=8.306 c=8.288 alpha=119.93 beta=120.00 gamma=90.00
Atoms (fractional coordinates):
1 Se 0.500 0.000 0.500
2 Se 0.000 0.000 0.000
3 Se 0.500 0.000 0.000
4 Se 0.000 0.000 0.500
5 Tb 0.753 0.263 0.010
6 Tb 0.743 0.737 0.990
7 Tb 0.746 0.739 0.492
8 Tb 0.753 0.263 0.506
9 Tb 0.254 0.261 0.508
10 Tb 0.247 0.737 0.494
11 Tb 0.257 0.263 0.010
12 Tb 0.247 0.737 0.990
13 Ge 0.500 0.500 0.000
14 Ge 0.000 0.500 0.500
15 Ge 0.500 0.500 0.500
16 As 0.000 0.500 0.000

***

No. 2
Pm8Nd6Ho: optimized geometry, PBE.

Computed properties:
Magnetization in μB/cell: 0.00
D(E_F) in states/eV per cell: 21.80
Total energy in eV per atom: -4.5849

Unit cell a=6.687 b=9.551 c=9.551 alpha=120.00 beta=90.00 gamma=90.00
Atoms (fractional coordinates):
1 Ho 0.500 0.000 0.000
2 Nd 0.661 0.652 0.085
3 Nd 0.339 0.348 0.915
4 Nd 0.661 0.433 0.348
5 Nd 0.339 0.567 0.652
6 Nd 0.661 0.915 0.567
7 Nd 0.339 0.085 0.433
8 Pm 0.112 0.667 0.333
9 Pm 0.835 0.030 0.280
10 Pm 0.165 0.280 0.250
11 Pm 0.888 0.333 0.667
12 Pm 0.165 0.970 0.720
13 Pm 0.835 0.720 0.750
14 Pm 0.165 0.750 0.030
15 Pm 0.835 0.250 0.970

***

No. 3
Y2ThP3Rh12: optimized geometry, PBE.

Computed properties:
Magnetization in μB/cell: 0.00
D(E_F) in states/eV per cell: 15.37
Total energy in eV per atom: -7.3653

Unit cell a=6.741 b=6.741 c=6.741 alpha=83.64 beta=83.64 gamma=83.64
Atoms (fractional coordinates):
1 Rh 0.661 0.180 0.180
2 Rh 0.090 0.632 0.632
3 Rh 0.820 0.339 0.820
4 Rh 0.180 0.180 0.661
5 Rh 0.910 0.368 0.368
6 Rh 0.368 0.910 0.368
7 Rh 0.180 0.661 0.180
8 Rh 0.820 0.820 0.339
9 Rh 0.632 0.632 0.090
10 Rh 0.632 0.090 0.632
11 Rh 0.368 0.368 0.910
12 Rh 0.339 0.820 0.820
13 Y 0.627 0.627 0.627
14 Y 0.373 0.373 0.373
15 Th 0.000 0.000 0.000
16 P 0.000 0.500 0.000
17 P 0.500 0.000 0.000
18 P 0.000 0.000 0.500